# GGA-PBE Tb2Be3GePt4, relaxed
data_Tb2Be3GePt4
_cell_length_a 4.100
_cell_length_b 4.100
_cell_length_c 9.649
_cell_angle_alpha 90.00
_cell_angle_beta 90.00
_cell_angle_gamma 90.00
_space_group_name_H-M_alt 'P 1'
_space_group_IT_number 1
loop_
_space_group_symop_operation_xyz
'x,y,z'
loop_
_atom_site_label
_atom_site_fract_x
_atom_site_fract_y
_atom_site_fract_z
_atom_site_occupancy
Tb1 0.500 0.000 0.246 1
Tb2 0.000 0.500 0.754 1
Be1 0.000 0.000 0.500 1
Be2 0.500 0.000 0.881 1
Be3 0.000 0.500 0.119 1
Ge1 0.500 0.500 0.500 1
Pt1 0.500 0.500 0.000 1
Pt2 0.000 0.000 0.000 1
Pt3 0.500 0.000 0.643 1
Pt4 0.000 0.500 0.357 1
# Raw total energy   -5.84 eV/atom
# Symmetry   No. 115
# DOS(E_F)   5.05 states/eV per cell